Record 1
Material: Rb3Sn4Se8
Method: DFT, PBE
State: optimized geometry

Properties
**Magnetization**: 0.00 Bohr magnetons per cell
**N(E_F)**: 13.73 states/eV/f.u.
**Uncorrected formation energy**: -0.495 eV/atom
**Uncorrected energy**: -3.61 eV/atom

CIF file:
```
data_Rb3Sn4Se8
_chemical_formula_sum 'Rb6 Sn8 Se16'
_cell_length_a 12.5337
_cell_length_b 12.6299
_cell_length_c 8.1384
_cell_angle_alpha 90.00
_cell_angle_beta 130.00
_cell_angle_gamma 90.00
_symmetry_space_group_name_H-M 'C 1 2/m 1'
_symmetry_Int_Tables_number 12
loop_
_symmetry_equiv_pos_as_xyz
'x,y,z'
'-x,-y,-z'
'-x,y,-z'
'x,-y,z'
'x+1/2,y+1/2,z'
'-x+1/2,-y+1/2,-z'
'-x+1/2,y+1/2,-z'
'x+1/2,-y+1/2,z'
loop_
_atom_site_label
_atom_site_fract_x
_atom_site_fract_y
_atom_site_fract_z
Rb1 0.0000 0.0000 0.0000
Rb2 0.2500 0.2500 0.0000
Sn1 0.0000 0.5000 0.0000
Sn2 0.0000 0.5000 0.5000
Sn3 0.2500 0.2500 0.5000
Se1 0.0000 0.2806 0.0000
Se2 0.0000 0.2834 0.5000
Se3 0.1887 0.5000 0.9372
Se4 0.2089 0.5000 0.4561
```

---

Record 2
Material: GeTe2N2
Method: DFT, PBE
State: optimized geometry

Properties
**Magnetization**: 0.86 Bohr magnetons per cell
**N(E_F)**: 2.70 states/eV/f.u.
**Uncorrected formation energy**: 1.386 eV/atom
**Uncorrected energy**: -4.12 eV/atom

CIF file:
```
data_GeTe2N2
_chemical_formula_sum 'Ge1 Te2 N2'
_cell_length_a 4.1089
_cell_length_b 4.1089
_cell_length_c 6.3895
_cell_angle_alpha 90.00
_cell_angle_beta 90.00
_cell_angle_gamma 90.00
_symmetry_space_group_name_H-M 'P 4/m m m'
_symmetry_Int_Tables_number 123
_symmetry_space_group_name_Hall '-P 4 2'
loop_
_atom_site_label
_atom_site_fract_x
_atom_site_fract_y
_atom_site_fract_z
Ge1 0.0000 0.0000 0.0000
Te1 0.5000 0.5000 0.0000
Te2 0.5000 0.5000 0.5000
N1 0.0000 0.5000 0.5000
```

---

Record 3
Material: LaAlPdPt
Method: DFT, PBE
State: optimized geometry

Properties
**Magnetization**: 0.00 Bohr magnetons per cell
**N(E_F)**: 2.56 states/eV/f.u.
**Uncorrected energy**: -6.00 eV/atom
**E_form**: -1.021 eV per atom

CIF file:
```
data_LaAlPdPt
_chemical_formula_sum 'La2 Al2 Pd2 Pt2'
_cell_length_a 7.6119
_cell_length_b 4.3958
_cell_length_c 5.6295
_cell_angle_alpha 90.00
_cell_angle_beta 116.69
_cell_angle_gamma 90.00
_symmetry_space_group_name_H-M 'C 1 m 1'
_symmetry_Int_Tables_number 8
loop_
_symmetry_equiv_pos_as_xyz
'x,y,z'
'x,-y,z'
'x+1/2,y+1/2,z'
'x+1/2,-y+1/2,z'
loop_
_atom_site_label
_atom_site_fract_x
_atom_site_fract_y
_atom_site_fract_z
La1 0.0000 0.0000 0.0000
Al1 0.4935 0.0000 0.4811
Pd1 0.2096 0.0000 0.6298
Pt1 0.2904 0.5000 0.3718
```

---

Record 4
Material: Sc3Nb2C4
Method: DFT, PBE
State: optimized geometry

Properties
**Magnetization**: 0.00 Bohr magnetons per cell
**N(E_F)**: 2.94 states/eV/f.u.
**Uncorrected energy**: -8.96 eV/atom
**E_form**: -0.511 eV per atom

CIF file:
```
data_Sc3Nb2C4
_chemical_formula_sum 'Sc6 Nb4 C8'
_cell_length_a 10.8272
_cell_length_b 3.2994
_cell_length_c 8.0310
_cell_angle_alpha 90.00
_cell_angle_beta 120.79
_cell_angle_gamma 90.00
_symmetry_space_group_name_H-M 'C 1 2/m 1'
_symmetry_Int_Tables_number 12
loop_
_symmetry_equiv_pos_as_xyz
'x,y,z'
'-x,-y,-z'
'-x,y,-z'
'x,-y,z'
'x+1/2,y+1/2,z'
'-x+1/2,-y+1/2,-z'
'-x+1/2,y+1/2,-z'
'x+1/2,-y+1/2,z'
loop_
_atom_site_label
_atom_site_fract_x
_atom_site_fract_y
_atom_site_fract_z
Sc1 0.0000 0.0000 0.0000
Sc2 0.1971 0.0000 0.8046
Nb1 0.1087 0.5000 0.3809
C1 0.0923 0.5000 0.8830
C2 0.1998 0.0000 0.3120
```